Entry 1:
Zn2CuB | PBE-GGA | relaxed

Computed properties:
E_tot (eV per cell): -10.45

abc: 4.067 4.067 4.067
angles: 60.00 60.00 60.00
Atoms (fractional coordinates):
Zn: 0.000 0.000 0.000
Zn: 0.250 0.250 0.250
Cu: 0.750 0.750 0.750
B: 0.500 0.500 0.500

Entry 2:
ZnCuB4 | PBE-GGA | relaxed

Computed properties:
E_tot (eV per cell): -29.69

abc: 3.012 3.012 6.799
angles: 90.00 90.00 120.00
Atoms (fractional coordinates):
Zn: 0.000 0.000 0.000
Cu: 0.000 0.000 0.500
B: 0.333 0.667 0.256
B: 0.333 0.667 0.744
B: 0.667 0.333 0.256
B: 0.667 0.333 0.744

Entry 3:
Zr2Cu2B | PBE-GGA | relaxed

Computed properties:
E_tot (eV per cell): -29.24

abc: 4.782 4.782 4.782
angles: 114.02 114.02 100.71
Atoms (fractional coordinates):
Zr: 0.250 0.750 0.500
Zr: 0.750 0.250 0.500
Cu: 0.180 0.180 0.000
Cu: 0.820 0.820 0.000
B: 0.500 0.500 0.000

Entry 4:
Zr4CuB3 | PBE-GGA | relaxed

Computed properties:
E_tot (eV per cell): -120.71

abc: 3.448 3.448 24.892
angles: 90.00 90.00 120.00
Atoms (fractional coordinates):
Zr: 0.000 0.000 0.168
Zr: 0.000 0.000 0.332
Zr: 0.000 0.000 0.668
Zr: 0.000 0.000 0.832
Zr: 0.333 0.667 0.058
Zr: 0.333 0.667 0.442
Zr: 0.667 0.333 0.558
Zr: 0.667 0.333 0.942
Cu: 0.333 0.667 0.250
Cu: 0.667 0.333 0.750
B: 0.000 0.000 0.000
B: 0.000 0.000 0.500
B: 0.333 0.667 0.617
B: 0.333 0.667 0.883
B: 0.667 0.333 0.117
B: 0.667 0.333 0.383